A plane-wave DFT calculation with GGA-PBE was carried out for a relaxed structure of Ag2Ge2Cl7.

formation energy without anion corrections = -6.47 eV per formula unit
DOS at the Fermi energy = 10.018 states/eV per cell
size of the total moment = 0.0 μB per cell

Cell: 8.092 11.218 7.561 Å, 90.00 94.83 90.00°
Space group C2/m (No. 12)
One atom of each set of equivalent atoms:
Ag: 0.000 0.170 0.000 x4
Ge: 0.233 0.000 0.639 x4
Cl: 0.000 0.500 0.500 x2
Cl: 0.067 0.000 0.254 x4
Cl: 0.201 0.336 0.175 x8


A plane-wave DFT calculation with GGA-PBE was carried out for a relaxed structure of SrLiF2.

formation energy without anion corrections = -10.40 eV per formula unit
energy relative to the lowest polymorph listed for this composition = 228 meV/atom
DOS at the Fermi energy = 1.922 states/eV per cell
size of the total moment = 0.0 μB per cell

Cell: 5.262 5.262 10.994 Å, 90.00 90.00 90.00°
Space group I-42d (No. 122)
One atom of each set of equivalent atoms:
Sr: 0.000 0.000 0.000 x4
Li: 0.000 0.000 0.500 x4
F: 0.187 0.250 0.625 x8


A plane-wave DFT calculation with GGA-PBE was carried out for a relaxed structure of Zr2InNi.

DOS at the Fermi energy = 2.374 states/eV per cell
energy of formation from the pure elements = -0.992 eV per formula unit
size of the total moment = 0.0 μB per cell

Cell: 3.212 3.212 7.689 Å, 90.00 90.00 90.00°
Space group P4mm (No. 99)
One atom of each set of equivalent atoms:
Zr: 0.000 0.000 0.000 x1
Zr: 0.500 0.500 0.289 x1
In: 0.000 0.000 0.588 x1
Ni: 0.500 0.500 0.807 x1


A plane-wave DFT calculation with GGA-PBE was carried out for a relaxed structure of TaSi2Tc.

formation energy without anion corrections = -0.66 eV per formula unit
energy relative to the lowest polymorph listed for this composition = 326 meV/atom
DOS at the Fermi energy = 16.737 states/eV per cell
size of the total moment = 0.0 μB per cell

Cell: 6.137 6.137 6.137 Å, 90.00 90.00 90.00°
Space group Fm-3m (No. 225)
One atom of each set of equivalent atoms:
Ta: 0.000 0.000 0.000 x4
Si: 0.250 0.250 0.250 x8
Tc: 0.000 0.000 0.500 x4


A plane-wave DFT calculation with GGA-PBE was carried out for a relaxed structure of RhPbI2O.

formation energy without anion corrections = -1.21 eV per formula unit
energy relative to the lowest polymorph listed for this composition = 0 meV/atom
DOS at the Fermi energy = 1.857 states/eV per cell
size of the total moment = 0.0 μB per cell

Cell: 5.809 5.809 3.807 Å, 90.00 90.00 90.00°
Space group P4/mmm (No. 123)
One atom of each set of equivalent atoms:
Rh: 0.000 0.000 0.000 x1
Pb: 0.500 0.500 0.500 x1
I: 0.000 0.500 0.000 x2
O: 0.000 0.000 0.500 x1


A plane-wave DFT calculation with GGA-PBE was carried out for a relaxed structure of GdNpRuRh.

DOS at the Fermi energy = 23.550 states/eV per cell
energy of formation from the pure elements = -1.156 eV per formula unit
size of the total moment = 40.8 μB per cell

Cell: 6.827 6.827 6.827 Å, 90.00 90.00 90.00°
Space group F-43m (No. 216)
One atom of each set of equivalent atoms:
Gd: 0.000 0.000 0.000 x4
Np: 0.000 0.000 0.500 x4
Ru: 0.250 0.250 0.750 x4
Rh: 0.250 0.250 0.250 x4


A plane-wave DFT calculation with GGA-PBE was carried out for a relaxed structure of HoTmHgPb.

energy relative to the lowest polymorph listed for this composition = 0 meV/atom
DOS at the Fermi energy = 3.410 states/eV per cell
energy of formation from the pure elements = -1.716 eV per formula unit
size of the total moment = 0.0 μB per cell

Cell: 3.942 5.175 5.185 Å, 90.00 90.00 90.00°
Space group Pmmm (No. 47)
One atom of each set of equivalent atoms:
Ho: 0.000 0.000 0.000 x1
Tm: 0.000 0.500 0.500 x1
Hg: 0.500 0.000 0.500 x1
Pb: 0.500 0.500 0.000 x1


A plane-wave DFT calculation with GGA-PBE was carried out for a relaxed structure of LaEr4Ag.

DOS at the Fermi energy = 8.549 states/eV per cell
energy of formation from the pure elements = -0.430 eV per formula unit
size of the total moment = 0.0 μB per cell

Cell: 3.589 3.589 13.689 Å, 90.00 90.00 90.00°
Space group P4/mmm (No. 123)
One atom of each set of equivalent atoms:
La: 0.000 0.000 0.000 x1
Er: 0.000 0.000 0.366 x2
Er: 0.500 0.500 0.187 x2
Ag: 0.500 0.500 0.500 x1